No. 1
Entry from the Alexandria database: a relaxed structure of Cs3Mn2SnI9 (PBE).

Values from the calculation:
E_form (uncorrected) (eV per atom): -0.88

a = 8.464 Å, b = 8.464 Å, c = 10.394 Å
α = 90.00°, β = 90.00°, γ = 120.00°
Last column: magnetic moment on the atom in μB.
Fractional coordinates of all 15 atoms:
Cs1 0.000 0.000 0.000  0.00
I1 0.500 0.000 0.000  0.05
Cs2 0.333 0.667 0.669  0.00
I2 0.347 0.174 0.678  0.03
Cs3 0.667 0.333 0.331  0.00
I3 0.174 0.347 0.322  0.03
I4 0.500 0.500 0.000  0.05
Mn1 0.333 0.667 0.157  4.34
Sn1 0.000 0.000 0.500  0.07
I5 0.000 0.500 0.000  0.05
I6 0.174 0.826 0.322  0.03
I7 0.653 0.826 0.322  0.03
Mn2 0.667 0.333 0.843  4.34
I8 0.826 0.174 0.678  0.03
I9 0.826 0.653 0.678  0.03

No. 2
Entry from the Alexandria database: a relaxed structure of Sm2PdAu6 (PBE).

Values from the calculation:
E_form (eV/atom): -0.57
Density of states at the Fermi level (states/eV per cell): 4.3

a = 5.788 Å, b = 6.194 Å, c = 6.194 Å
α = 59.98°, β = 90.01°, γ = 90.01°
Fractional coordinates of all 9 atoms:
Au1 0.320 0.818 0.362
Au2 0.316 0.819 0.819
Au3 0.680 0.182 0.638
Pd1 0.000 0.000 0.000
Sm1 0.842 0.667 0.667
Au4 0.320 0.362 0.818
Sm2 0.158 0.333 0.333
Au5 0.684 0.181 0.181
Au6 0.680 0.638 0.182

- What is the formula in the first record?
  Cs3Mn2SnI9